Density functional theory data (PBE-GGA) for an optimized crystal structure of Ho2Tm4Mg5.

Computed properties:
energy of formation from the pure elements: 2.73 eV per formula unit
space-group type: No. 69
total moment: 0.00 μB/f.u.
DFT total energy: -32.29 eV per cell

a b c (Å): 12.1214 11.4544 5.8734
angles (deg): 81.98 69.35 28.67
Fractional positions:
Ho: 0.1120 0.1120 0.8880
Ho: 0.8880 0.8880 0.1120
Tm: 0.2063 0.5423 0.4577
Tm: 0.4577 0.7937 0.2063
Tm: 0.5423 0.2063 0.7937
Tm: 0.7937 0.4577 0.5423
Mg: 0.0000 0.0000 0.5000
Mg: 0.2500 0.2500 0.2500
Mg: 0.5000 0.5000 0.0000
Mg: 0.5000 0.5000 0.5000
Mg: 0.7500 0.7500 0.7500



Density functional theory data (PBE-GGA) for an optimized crystal structure of LiCr2Ni.

Computed properties:
energy of formation from the pure elements: 1.21 eV per formula unit
space-group type: No. 139
total moment: 0.00 μB/f.u.
DFT total energy: -25.73 eV per cell
offset from the most stable computed form: 0.134 eV/atom

a b c (Å): 4.7096 4.7096 4.7096
angles (deg): 138.94 138.94 59.46
Fractional positions:
Li: 0.0000 0.0000 0.0000
Cr: 0.2500 0.7500 0.5000
Cr: 0.7500 0.2500 0.5000
Ni: 0.5000 0.5000 0.0000



Density functional theory data (PBE-GGA) for an optimized crystal structure of Ac2TmAl3Au4.

Computed properties:
energy of formation from the pure elements: -7.17 eV per formula unit
space-group type: No. 115
total moment: 0.00 μB/f.u.
DFT total energy: -44.20 eV per cell

a b c (Å): 4.6425 4.6425 10.9514
angles (deg): 90.00 90.00 90.00
Fractional positions:
Ac: 0.0000 0.5000 0.2315
Ac: 0.5000 0.0000 0.7685
Tm: 0.0000 0.0000 0.5000
Al: 0.0000 0.5000 0.8819
Al: 0.5000 0.0000 0.1181
Al: 0.5000 0.5000 0.5000
Au: 0.0000 0.0000 0.0000
Au: 0.0000 0.5000 0.6481
Au: 0.5000 0.0000 0.3519
Au: 0.5000 0.5000 0.0000



Density functional theory data (PBE-GGA) for an optimized crystal structure of CeBe2ZnH8.

Computed properties:
space-group type: No. 148
total moment: 1.52 μB/f.u.
DFT total energy: -42.41 eV per cell

a b c (Å): 6.6102 6.6102 6.6102
angles (deg): 38.43 38.43 38.43
Fractional positions:
Ce: 0.0000 0.0000 0.0000
Be: 0.2446 0.2446 0.2446
Be: 0.7554 0.7554 0.7554
Zn: 0.5000 0.5000 0.5000
H: 0.0881 0.7941 0.4412
H: 0.2059 0.5588 0.9119
H: 0.3242 0.3242 0.3242
H: 0.4412 0.0881 0.7941
H: 0.5588 0.9119 0.2059
H: 0.6758 0.6758 0.6758
H: 0.7941 0.4412 0.0881
H: 0.9119 0.2059 0.5588